Here is crystalline ZnMo2O4 at its relaxed geometry from Alexandria via LeMat-Bulk. Energies are from PBE+U.

Cell lengths 6.3540, 6.3543, 6.3537 Å; angles 90.00, 119.99, 120.00 degrees
Last column: nearest neighbours and their distance in Å.
Fractional coordinates of all 14 atoms:
Zn (0.2499, 0.1250, 0.8750)  4 O 2.06
Zn (0.7501, 0.8750, 0.1250)  4 O 2.06
Mo (0.5000, 0.0000, 0.5000)  6 O 2.18
Mo (0.5000, 0.5000, 0.5000)  6 O 2.18
Mo (0.0000, 0.5000, 0.0000)  6 O 2.18
Mo (0.0000, 0.5000, 0.5000)  6 O 2.18
O (0.0149, 0.7426, 0.2574)  1 Zn 2.06, 3 Mo 2.18
O (0.4851, 0.7426, 0.7277)  1 Zn 2.06, 3 Mo 2.18
O (0.4851, 0.7426, 0.2574)  1 Zn 2.06, 3 Mo 2.18
O (0.9851, 0.7277, 0.7426)  1 Zn 2.06, 3 Mo 2.18
O (0.5148, 0.2574, 0.7426)  1 Zn 2.06, 3 Mo 2.18
O (0.5149, 0.2574, 0.2723)  1 Zn 2.06, 3 Mo 2.18
O (0.0149, 0.2723, 0.2574)  1 Zn 2.06, 3 Mo 2.18
O (0.9851, 0.2574, 0.7426)  1 Zn 2.06, 3 Mo 2.18

Properties
**VASP energy**: -92.26 eV per cell
**Total magnetic moment**: 0.86 μB/atom
**V**: 13.0 Å³/atom
**Excess energy over the best structure of this formula in the dataset**: 0.00 eV per formula unit